(1)
Mg2CdCo | GGA-PBEsol | relaxed

a b c (Å): 3.105 3.107 7.171
angles (deg): 90.00 90.00 90.00
Sites, in units of the cell vectors:
Mg (0.500, 0.500, 0.258)
Cd (0.000, 0.000, 0.541)
Co (0.500, 0.500, 0.754)
Mg (0.000, 0.000, 0.947)

Summary:
* total magnetic moment: 0.0 μB per formula unit
* SG: No. 99
* calculated formation energy: 2.97 kcal/mol of atoms
* calculated total energy: -2.963 eV per atom

***

(2)
InCo2Cl | GGA-PBEsol | relaxed

a b c (Å): 2.940 2.939 7.339
angles (deg): 90.00 90.00 90.00
Sites, in units of the cell vectors:
Co (0.500, 0.500, 0.206)
Co (0.000, 0.000, 0.027)
In (0.000, 0.000, 0.438)
Cl (0.500, 0.500, 0.828)

Summary:
* raw formation energy: 181 meV per atom
* total magnetic moment: 3.5 μB per formula unit
* SG: No. 99
* calculated total energy: -4.935 eV per atom

***

(3)
RbNaCr3 | GGA-PBEsol | relaxed

a b c (Å): 5.957 5.957 5.957
angles (deg): 90.00 90.00 90.00
Sites, in units of the cell vectors:
Cr (0.500, 0.000, 0.000)
Na (0.500, 0.500, 0.500)
Cr (0.000, 0.000, 0.500)
Cr (0.000, 0.500, 0.000)
Rb (0.000, 0.000, 0.000)

Summary:
* total magnetic moment: 16.3 μB per formula unit
* SG: No. 221
* calculated formation energy: 55.10 kcal/mol of atoms
* calculated total energy: -4.241 eV per atom

***

(4)
Y2SiNi | GGA-PBEsol | relaxed

a b c (Å): 3.926 4.004 5.589
angles (deg): 90.00 110.56 90.00
Sites, in units of the cell vectors:
Ni (0.819, 0.000, 0.638)
Y (0.113, 0.000, 0.226)
Y (0.395, 0.500, 0.789)
Si (0.687, 0.500, 0.373)

Summary:
* raw formation energy: -671 meV per atom
* total magnetic moment: 0.0 μB per formula unit
* SG: No. 38
* calculated total energy: -7.059 eV per atom

***

(5)
CoCuSb2 | GGA-PBEsol | relaxed

a b c (Å): 3.349 4.504 4.504
angles (deg): 89.98 89.94 89.94
Sites, in units of the cell vectors:
Co (0.500, 0.000, 0.000)
Sb (0.000, 0.000, 0.500)
Cu (0.500, 0.500, 0.500)
Sb (0.000, 0.500, 0.000)

Summary:
* raw formation energy: 318 meV per atom
* total magnetic moment: 0.0 μB per formula unit
* SG: No. 123
* calculated total energy: -4.978 eV per atom

***

(6)
NiWO4 | GGA-PBEsol | relaxed

a b c (Å): 4.520 4.905 5.615
angles (deg): 90.00 90.00 89.96
Sites, in units of the cell vectors:
Ni (0.500, 0.750, 0.652)
O (0.737, 0.092, 0.620)
O (0.775, 0.073, 0.111)
O (0.737, 0.592, 0.380)
O (0.775, 0.573, 0.889)
O (0.225, 0.427, 0.111)
O (0.225, 0.927, 0.889)
W (0.000, 0.750, 0.176)
Ni (0.500, 0.250, 0.348)
O (0.263, 0.908, 0.380)
O (0.263, 0.408, 0.620)
W (0.000, 0.250, 0.824)

Summary:
* raw formation energy: -1638 meV per atom
* total magnetic moment: 2.0 μB per formula unit
* SG: No. 13
* calculated total energy: -8.465 eV per atom